(1)
The following is a DFT calculation (PBE) of a relaxed structure of NdYPu.

Cell lengths 3.5796, 3.5796, 8.6403 Å; angles 90.00, 90.00, 120.00 degrees
Space group P3m1 (No. 156)
Asymmetric unit:
Nd: 0.0000 0.0000 0.0000 x1
Y: 0.6667 0.3333 0.3425 x1
Pu: 0.3333 0.6667 0.6680 x1

Values from the calculation:
The value obtained for the total magnetization is 2.088 μB per atom.


(2)
The following is a DFT calculation (PBE) of a relaxed structure of NdYPu.

Cell lengths 3.558, 3.558, 15.037 Å; angles 90.00, 90.00, 90.00 degrees
Space group I4mm (No. 107)
Asymmetric unit:
Nd: 0.000 0.000 0.000 x2
Y: 0.000 0.000 0.674 x2
Pu: 0.000 0.000 0.336 x2

Values from the calculation:
The value obtained for the total magnetization is 2.058 μB per atom.


Out of the structures above, which one is the most stable? Solution: (2).